# Mn5NiP6O24 | Alexandria via LeMat-Bulk | PBE+U | relaxed
# **N(E_F)**: 5.821 states/eV/cell
# **Size of the total moment**: 0.58 μB per atom
# **Total DFT energy (no corrections)**: -7.19 eV/atom
data_Mn5NiP6O24
_chemical_formula_sum 'Mn15 Ni3 P18 O72'
_cell_length_a 8.5483
_cell_length_b 8.5483
_cell_length_c 21.0095
_cell_angle_alpha 90.00
_cell_angle_beta 90.00
_cell_angle_gamma 120.00
_symmetry_space_group_name_H-M 'R 3'
_symmetry_Int_Tables_number 146
_symmetry_space_group_name_Hall 'R 3'
loop_
_atom_site_label
_atom_site_fract_x
_atom_site_fract_y
_atom_site_fract_z
_atom_site_occupancy
Mn1 0.0000 0.0000 0.0000 1
Mn2 0.0000 0.0000 0.1422 1
Mn3 0.0000 0.0000 0.3554 1
Mn4 0.0000 0.0000 0.5016 1
Mn5 0.0000 0.0000 0.8554 1
Ni1 0.0000 0.0000 0.6410 1
P1 0.0433 0.3752 0.4154 1
P2 0.0456 0.6686 0.9140 1
O1 0.0005 0.8052 0.3099 1
O2 0.0083 0.2062 0.6875 1
O3 0.0211 0.1809 0.4216 1
O4 0.0318 0.8457 0.9203 1
O5 0.1443 0.4671 0.4774 1
O6 0.1509 0.6794 0.8537 1
O7 0.1632 0.6863 0.2399 1
O8 0.1678 0.4878 0.7469 1